First-principles (PBE with a Hubbard U) data for CrCu3F after structural relaxation, as listed in Alexandria.

Computed properties:
Polymorph energy (0 for the lowest one) = 375 kJ/mol of formula units

```
data_CrCu3F
_space_group_name_H-M_alt 'P m -3 m'
_space_group_IT_number 221
_space_group_name_Hall '-P 4 2 3'
_cell_length_a 4.695
_cell_length_b 4.695
_cell_length_c 4.695
_cell_angle_alpha 90.00
_cell_angle_beta 90.00
_cell_angle_gamma 90.00
loop_
_atom_site_label
_atom_site_type_symbol
_atom_site_fract_x
_atom_site_fract_y
_atom_site_fract_z
_atom_site_occupancy
Cr1 Cr 0.000 0.000 0.000 1
Cu1 Cu 0.000 0.000 0.500 1
F1 F 0.500 0.500 0.500 1
```